one.
Density functional theory data (SCAN) for CrSi2Br at its PBEsol-relaxed geometry.

Calculated values
total magnetization = 3.6 μB/cell
Fermi-level density of states = 4.82 states/eV per cell

a b c (Å): 3.1175 3.1175 22.3271
angles (deg): 90.00 90.00 120.00
Closest atoms and distances in Å follow each position.
Space group R-3m (No. 166, hexagonal axes)
Symmetry-distinct sites (fractional):
Cr: 0.0000 0.0000 0.0000 [3 per cell]  6 Si 2.38
Si: 0.0000 0.0000 0.2639 [6 per cell]  3 Cr 2.38
Br: 0.0000 0.0000 0.5000 [3 per cell]  6 Si 2.82, 6 Br 3.12

---

two.
Density functional theory data (SCAN) for CrSi2Br at its PBEsol-relaxed geometry.

Calculated values
total magnetization = 8.7 μB/cell
Fermi-level density of states = 13.11 states/eV per cell

a b c (Å): 5.7600 5.7600 11.2255
angles (deg): 90.00 90.00 90.00
Closest atoms and distances in Å follow each position.
Space group I-42d (No. 122)
Symmetry-distinct sites (fractional):
Cr: 0.0000 0.0000 0.0000 [4 per cell]  4 Si 2.27
Si: 0.1825 0.2500 0.1250 [8 per cell]  2 Cr 2.27
Br: 0.0000 0.0000 0.5000 [4 per cell]  4 Si 2.72

---

three.
Density functional theory data (SCAN) for CrSi2Br at its PBEsol-relaxed geometry.

Calculated values
total magnetization = 16.7 μB/cell
Fermi-level density of states = 7.97 states/eV per cell

a b c (Å): 6.4714 6.4714 6.4714
angles (deg): 90.00 90.00 90.00
Closest atoms and distances in Å follow each position.
Space group F-43m (No. 216)
Symmetry-distinct sites (fractional):
Cr: 0.0000 0.0000 0.0000 [4 per cell]  4 Si 2.80, 4 Br 2.80
Si: 0.0000 0.0000 0.5000 [4 per cell]  4 Br 2.80, 4 Si 2.80
Si: 0.2500 0.2500 0.2500 [4 per cell]  4 Cr 2.80, 4 Si 2.80
Br: 0.2500 0.2500 0.7500 [4 per cell]  4 Cr 2.80, 4 Si 2.80

---

Decreasing stability: one, three, two

---

one.
Density functional theory data (SCAN) for Ta2CrBr at its PBEsol-relaxed geometry.

Calculated values
total magnetization = 0.0 μB/cell
Fermi-level density of states = 2.47 states/eV per cell

a b c (Å): 2.9793 4.4613 5.0815
angles (deg): 90.00 106.35 90.00
Closest atoms and distances in Å follow each position.
Space group Pm (No. 6)
Symmetry-distinct sites (fractional):
Ta: 0.0000 0.0000 0.0000 [1 per cell]  1 Cr 2.40
Ta: 0.2540 0.5000 0.7379 [1 per cell]  3 Br 2.63-2.71, 2 Cr 2.70, 2 Ta 2.81
Cr: 0.5393 0.0000 0.5302 [1 per cell]  1 Ta 2.40, 2 Br 2.57
Br: 0.5274 0.5000 0.2768 [1 per cell]  2 Cr 2.57, 5 Ta 2.63-2.86

---

two.
Density functional theory data (SCAN) for Ta2CrBr at its PBEsol-relaxed geometry.

Calculated values
total magnetization = 2.3 μB/cell
Fermi-level density of states = 3.08 states/eV per cell

a b c (Å): 3.1587 4.4581 4.6527
angles (deg): 90.00 90.00 90.00
Closest atoms and distances in Å follow each position.
Space group Pmmm (No. 47)
Symmetry-distinct sites (fractional):
Ta: 0.0000 0.0000 0.0000 [1 per cell]  4 Br 2.73, 4 Ta 2.81
Ta: 0.5000 0.0000 0.5000 [1 per cell]  4 Cr 2.73, 4 Ta 2.81
Cr: 0.0000 0.5000 0.5000 [1 per cell]  4 Ta 2.73, 4 Br 2.81
Br: 0.5000 0.5000 0.0000 [1 per cell]  4 Ta 2.73, 4 Cr 2.81

---

Decreasing stability: one, two